Below is FeHBr after structural relaxation, with properties calculated at the PBE level.

The crystal system is orthorhombic. For the density of states at the Fermi level, the calculation gives 0.388 states/eV per atom. Its total energy is -4.53 eV per atom.

The structure belongs to space group Imma (No. 74); the cell edges are 3.609, 5.114 and 9.802 Å and the angles 90.00°, 90.00° and 90.00°. The distinct sites, in fractional coordinates, are Fe at (0.000, 0.250, 0.162), H at (0.000, 0.250, 0.330) and Br at (0.000, 0.250, 0.902).